1.
SrThNiN2 PBE relaxed; density = 6.93 g/cm3; raw formation energy = -0.74 eV/atom; E_tot = -7.046 eV/atom; space-group type = No. 49; D(E_F) = 0.262 states/eV per atom
1.0
-2.6681 2.0153 -4.1167
-3.8550 -3.4683 0.8006
-3.1822 4.5264 4.2783
Sr Th Ni N
2 2 2 4
Cartesian
-4.3151 1.6614 3.6076
-5.3902 1.4120 -2.6454
-2.1293 2.1390 -0.9884
-3.7210 4.4027 1.1499
0.0000 0.0000 0.0000
-1.5911 2.2632 2.1391
-8.1156 3.2530 1.9545
-4.3378 2.9575 -0.6385
-5.3675 0.1158 1.6007
-1.5897 -0.1796 -0.9924

=====

2.
SrTh2NiN4 PBE relaxed; density = 8.26 g/cm3; raw formation energy = -1.02 eV/atom; E_tot = -7.971 eV/atom; space-group type = No. 63; D(E_F) = 0.544 states/eV per atom
1.0
-0.8033 2.6904 -2.3581
-4.0869 0.4476 4.7536
7.6313 7.4168 5.8625
Sr Th Ni N
2 4 2 8
Cartesian
4.6963 5.9728 5.2149
-1.9552 4.5820 3.0432
0.9350 5.4315 5.8786
-1.1745 2.2265 0.0897
1.8061 5.1233 2.3795
3.9156 8.3283 8.1684
2.3351 8.1008 5.5965
0.4061 2.4540 2.6616
-1.4643 1.7542 2.5003
2.0952 6.7497 4.1367
4.2054 8.8006 5.7578
0.6459 3.8051 4.1214
3.8156 3.7084 2.9313
0.0000 0.0000 0.0000
2.1411 6.9934 7.2498
0.6000 3.5614 1.0083

=====

3.
SrTiNi2N PBE relaxed; density = 5.12 g/cm3; raw formation energy = 0.20 eV/atom; E_tot = -5.690 eV/atom; space-group type = No. 123; D(E_F) = 0.595 states/eV per atom
1.0
-1.8639 -0.0494 4.2373
0.7372 -3.9647 0.2780
4.1527 0.9009 1.8372
Sr N Ti Ni
1 1 1 2
Cartesian
1.5129 -1.5566 3.1763
0.3686 -1.9824 0.1390
0.0000 0.0000 0.0000
2.0763 0.4505 0.9186
-0.9320 -0.0247 2.1187

=====

4.
Sr3U3NiN8 PBE relaxed; density = 7.90 g/cm3; raw formation energy = -0.88 eV/atom; E_tot = -8.295 eV/atom; space-group type = No. 12; D(E_F) = 0.457 states/eV per atom
1.0
-3.6375 -5.2066 -1.8561
5.9796 1.2824 -3.5210
0.2633 -2.5424 6.6156
Sr U Ni N
3 3 1 8
Cartesian
0.0000 0.0000 0.0000
2.9898 0.6412 -1.7605
1.1711 -1.9621 -2.6886
-1.6871 -3.8745 2.3798
1.3027 -3.2333 0.6192
3.1215 -0.6300 1.5473
0.1317 -1.2712 3.3078
2.2857 -1.4483 -0.4168
0.3197 -5.0182 1.6553
0.0711 -3.8975 -1.0013
2.5343 -2.5690 2.2398
-2.4781 -4.8929 0.5888
5.0835 -1.5736 0.6497
-0.5667 -2.1570 1.5641
3.1721 -4.3095 -0.3256

=====

5.
SrZr2NiN4 PBE relaxed; density = 6.10 g/cm3; raw formation energy = -1.07 eV/atom; E_tot = -8.298 eV/atom; space-group type = No. 63; D(E_F) = 0.429 states/eV per atom
1.0
3.2971 0.0000 0.0000
-1.6486 5.6119 0.0000
0.0000 0.0000 11.3181
Sr Zr Ni N
2 4 2 8
Cartesian
0.0000 1.1846 8.4886
1.6486 4.4274 2.8295
0.0000 4.1075 6.2411
1.6486 1.5044 0.5820
1.6486 1.5044 5.0770
0.0000 4.1075 10.7361
1.6486 3.8042 8.4886
0.0000 1.8077 2.8295
0.0000 2.9292 1.2265
1.6486 2.6827 6.8855
1.6486 2.6827 10.0916
0.0000 2.9292 4.4326
0.0000 0.0000 5.6590
0.0000 0.0000 0.0000
0.0000 4.7599 8.4886
1.6486 0.8521 2.8295

=====

6.
TaNiN3 PBE relaxed; density = 7.19 g/cm3; raw formation energy = 0.86 eV/atom; E_tot = -7.664 eV/atom; space-group type = No. 221; D(E_F) = 1.207 states/eV per atom
1.0
4.0222 0.0000 0.0000
0.0000 4.0222 0.0000
0.0000 0.0000 4.0222
Ni N Ta
1 3 1
Cartesian
2.0111 2.0111 2.0111
0.0000 2.0111 0.0000
0.0000 0.0000 2.0111
2.0111 0.0000 0.0000
0.0000 0.0000 0.0000

=====

7.
TaNiN2 PBE relaxed; density = 9.08 g/cm3; raw formation energy = -0.46 eV/atom; E_tot = -9.028 eV/atom; space-group type = No. 122; D(E_F) = 0.156 states/eV per atom
1.0
-2.3419 -1.8187 -3.4442
-2.0322 -2.8578 2.8909
-5.6521 0.8214 0.4110
Ni N Ta
2 4 2
Cartesian
-2.1871 -2.3382 -0.2766
-4.9357 -2.1873 1.5126
-3.1471 -1.3012 -1.7125
-2.9596 -1.7954 1.5031
-5.8652 -1.1177 0.0806
-8.0806 -3.4958 -0.1557
0.0000 0.0000 0.0000
-5.0905 -1.6678 -1.6549

=====

8.
Ta3NiN PBE relaxed; density = 13.95 g/cm3; raw formation energy = -0.38 eV/atom; E_tot = -10.309 eV/atom; space-group type = No. 221; D(E_F) = 0.539 states/eV per atom
1.0
-1.8779 -3.4831 -1.3621
2.9942 -0.4869 -2.8830
2.2410 -2.2682 2.7105
Ni N Ta
1 1 3
Cartesian
1.6787 -3.1191 -0.7673
0.0000 0.0000 0.0000
1.4971 -0.2435 -1.4415
1.1205 -1.1341 1.3553
-0.9390 -1.7416 -0.6811